1.
Material: Er2Fe2Co15
Method: DFT, GGA-PBE
State: optimized geometry

a = 6.2549 Å, b = 6.2549 Å, c = 6.2549 Å
α = 83.03°, β = 83.03°, γ = 83.03°
Closest atoms and distances in Å follow each position.
Fractional coordinates of all 19 atoms:
Er 0.1549 0.1549 0.1549  18 Co 2.94-3.22, 1 Fe 2.98
Er 0.8451 0.8451 0.8451  18 Co 2.94-3.22, 1 Fe 2.98
Fe 0.4016 0.4016 0.4016  1 Fe 2.38, 6 Co 2.53-2.59
Fe 0.5984 0.5984 0.5984  1 Fe 2.38, 6 Co 2.53-2.59
Co 0.0000 0.5000 0.5000  8 Co 2.37-2.40, 2 Fe 2.53
Co 0.1524 0.1524 0.6523  8 Co 2.40-2.53, 1 Fe 2.59
Co 0.1524 0.6523 0.1524  8 Co 2.40-2.53, 1 Fe 2.59
Co 0.2099 0.5000 0.7901  8 Co 2.37-2.53
Co 0.2099 0.7901 0.5000  8 Co 2.37-2.53
Co 0.3477 0.8476 0.8476  8 Co 2.40-2.53, 1 Fe 2.59
Co 0.5000 0.0000 0.5000  8 Co 2.37-2.40, 2 Fe 2.53
Co 0.5000 0.2099 0.7901  8 Co 2.37-2.53
Co 0.5000 0.5000 0.0000  8 Co 2.37-2.40, 2 Fe 2.53
Co 0.5000 0.7901 0.2099  8 Co 2.37-2.53
Co 0.6523 0.1524 0.1524  8 Co 2.40-2.53, 1 Fe 2.59
Co 0.7901 0.2099 0.5000  8 Co 2.37-2.53
Co 0.7901 0.5000 0.2099  8 Co 2.37-2.53
Co 0.8476 0.3477 0.8476  8 Co 2.40-2.53, 1 Fe 2.59
Co 0.8476 0.8476 0.3477  8 Co 2.40-2.53, 1 Fe 2.59

Output
formation energy: -0.12 eV/atom
calculated density: 9.2 g cm⁻³
DFT total energy: -7.102 eV/atom
space-group type: No. 166


2.
Material: BaCaBiSbO6
Method: DFT, GGA-PBE
State: optimized geometry

a = 6.0689 Å, b = 6.0689 Å, c = 6.0689 Å
α = 60.00°, β = 60.00°, γ = 60.00°
Closest atoms and distances in Å follow each position.
Fractional coordinates of all 10 atoms:
Ba 0.0000 0.0000 0.0000  12 O 3.04
Ca 0.5000 0.5000 0.5000  12 O 3.04
Bi 0.2500 0.2500 0.2500  6 O 2.29
Sb 0.7500 0.7500 0.7500  6 O 2.00
O 0.5165 0.5165 0.9835  1 Sb 2.00
O 0.5165 0.9835 0.5165  1 Sb 2.00
O 0.5165 0.9835 0.9835  1 Sb 2.00
O 0.9835 0.5165 0.5165  1 Sb 2.00
O 0.9835 0.5165 0.9835  1 Sb 2.00
O 0.9835 0.9835 0.5165  1 Sb 2.00

Output
calculated density: 6.3 g cm⁻³
DFT total energy: -6.082 eV/atom
uncorrected formation energy: -1.915 eV per atom
space-group type: No. 216


3.
Material: ScCr2Br
Method: DFT, GGA-PBE
State: optimized geometry

a = 5.7076 Å, b = 5.7076 Å, c = 5.7076 Å
α = 147.47°, β = 129.66°, γ = 61.23°
Closest atoms and distances in Å follow each position.
Fractional coordinates of all 4 atoms:
Sc 0.0000 0.0000 0.0000  4 Br 2.91, 4 Cr 3.02, 2 Sc 3.20
Cr 0.2607 0.7607 0.5000  2 Br 2.84, 4 Cr 2.91, 2 Sc 3.02
Cr 0.7393 0.2393 0.5000  2 Br 2.84, 4 Cr 2.91, 2 Sc 3.02
Br 0.5000 0.5000 0.0000  4 Cr 2.84, 4 Sc 2.91

Output
calculated density: 5.0 g cm⁻³
DFT total energy: -6.362 eV/atom
uncorrected formation energy: 0.450 eV per atom
space-group type: No. 71


4.
Material: La3TbHg2
Method: DFT, GGA-PBE
State: optimized geometry

a = 9.2871 Å, b = 9.2871 Å, c = 9.2871 Å
α = 132.09°, β = 70.63°, γ = 131.40°
Closest atoms and distances in Å follow each position.
Fractional coordinates of all 12 atoms:
La 0.0217 0.7500 0.2717  4 Hg 3.22-3.23
La 0.2500 0.2500 0.0000  4 Hg 3.22
La 0.4783 0.7500 0.7283  4 Hg 3.22-3.23
La 0.5217 0.2500 0.2717  4 Hg 3.22-3.23
La 0.7500 0.7500 0.0000  4 Hg 3.22
La 0.9783 0.2500 0.7283  4 Hg 3.22-3.23
Tb 0.0000 0.5000 0.5000  2 Hg 3.01
Tb 0.5000 0.0000 0.5000  2 Hg 3.01
Hg 0.1357 0.2082 0.3438  1 Tb 3.01, 6 La 3.22-3.23
Hg 0.3643 0.7082 0.0725  1 Tb 3.01, 6 La 3.22-3.23
Hg 0.6357 0.2918 0.9275  1 Tb 3.01, 6 La 3.22-3.23
Hg 0.8643 0.7918 0.6562  1 Tb 3.01, 6 La 3.22-3.23

Output
formation energy: -0.09 eV/atom
calculated density: 7.4 g cm⁻³
DFT total energy: -3.430 eV/atom
space-group type: No. 72


5.
Material: K4PuCl7
Method: DFT, GGA-PBE
State: optimized geometry

a = 10.7401 Å, b = 10.7401 Å, c = 8.8955 Å
α = 106.05°, β = 106.05°, γ = 28.64°
Closest atoms and distances in Å follow each position.
Fractional coordinates of all 12 atoms:
K 0.0818 0.0818 0.2285  1 Cl 2.95
K 0.2153 0.2153 0.7884  3 Cl 3.07-3.11
K 0.7847 0.7847 0.2116  3 Cl 3.07-3.11
K 0.9182 0.9182 0.7715  1 Cl 2.95
Pu 0.5000 0.5000 0.5000  6 Cl 2.66-2.71
Cl 0.0000 0.0000 0.5000  2 Pu 2.66
Cl 0.2044 0.2044 0.1253  4 K 2.95-3.11
Cl 0.3688 0.3688 0.4924  1 Pu 2.71
Cl 0.4793 0.4793 0.1876  1 Pu 2.69
Cl 0.5207 0.5207 0.8124  1 Pu 2.69
Cl 0.6312 0.6312 0.5076  1 Pu 2.71
Cl 0.7956 0.7956 0.8747  4 K 2.95-3.11

Output
calculated density: 2.3 g cm⁻³
DFT total energy: -4.515 eV/atom
uncorrected formation energy: -1.878 eV per atom
space-group type: No. 12


6.
Material: K2Ho2MnS6
Method: DFT, GGA-PBE
State: optimized geometry

a = 6.5919 Å, b = 6.5919 Å, c = 7.8586 Å
α = 98.52°, β = 98.52°, γ = 119.20°
Closest atoms and distances in Å follow each position.
Fractional coordinates of all 11 atoms:
K 0.1718 0.8282 0.0000  6 S 3.17-3.31
K 0.8282 0.1718 0.0000  6 S 3.17-3.31
Ho 0.3329 0.6671 0.5000  6 S 2.71-2.73
Ho 0.6671 0.3329 0.5000  6 S 2.71-2.73
Mn 0.0000 0.0000 0.5000  6 S 2.42-2.44
S 0.0666 0.3662 0.6887  1 Mn 2.44, 1 Ho 2.71
S 0.2315 0.2315 0.3142  1 Mn 2.42
S 0.3662 0.0666 0.6887  1 Mn 2.44, 1 Ho 2.71
S 0.6338 0.9334 0.3113  1 Mn 2.44, 1 Ho 2.71
S 0.7685 0.7685 0.6858  1 Mn 2.42
S 0.9334 0.6338 0.3113  1 Mn 2.44, 1 Ho 2.71

Output
calculated density: 3.8 g cm⁻³
DFT total energy: -5.560 eV/atom
uncorrected formation energy: -1.443 eV per atom
space-group type: No. 12


7.
Material: Nd4OsCCl2
Method: DFT, GGA-PBE
State: optimized geometry

a = 6.9810 Å, b = 3.9511 Å, c = 7.6407 Å
α = 90.00°, β = 106.15°, γ = 90.00°
Closest atoms and distances in Å follow each position.
Fractional coordinates of all 8 atoms:
Nd 0.2241 0.0000 0.1871  2 C 2.67, 1 Os 2.70
Nd 0.2388 0.5000 0.7987  1 C 2.56, 2 Os 2.83
Nd 0.7612 0.5000 0.2013  1 C 2.56, 2 Os 2.83
Nd 0.7759 0.0000 0.8129  2 C 2.67, 1 Os 2.70
Os 0.5000 0.0000 0.0000  6 Nd 2.70-2.83
C 0.0000 0.5000 0.0000  6 Nd 2.56-2.67
Cl 0.0000 0.0000 0.5000  6 Nd 3.13-3.20
Cl 0.5000 0.5000 0.5000  6 Nd 3.28-3.29

Output
calculated density: 7.0 g cm⁻³
DFT total energy: -6.240 eV/atom
uncorrected formation energy: -0.838 eV per atom
space-group type: No. 10


8.
Material: Li3CaN
Method: DFT, GGA-PBE
State: optimized geometry

a = 4.2711 Å, b = 4.2711 Å, c = 4.2711 Å
α = 90.00°, β = 90.00°, γ = 90.00°
Closest atoms and distances in Å follow each position.
Fractional coordinates of all 5 atoms:
Li 0.0000 0.0000 0.5000  2 N 2.14
Li 0.0000 0.5000 0.0000  2 N 2.14
Li 0.5000 0.0000 0.0000  2 N 2.14
Ca 0.5000 0.5000 0.5000  12 Li 3.02
N 0.0000 0.0000 0.0000  6 Li 2.14

Output
calculated density: 1.6 g cm⁻³
DFT total energy: -3.187 eV/atom
uncorrected formation energy: 0.027 eV per atom
space-group type: No. 221